## Cs3Na5Br12 (PBE)

Data for an optimized crystal structure of Cs3Na5Br12.

abc: 16.270 16.270 16.270
angles: 109.47 109.47 109.47
Positions (direct):
Cs (0.125, 0.250, 0.375)
Cs (0.125, 0.375, 0.750)
Cs (0.250, 0.375, 0.125)
Cs (0.250, 0.875, 0.625)
Cs (0.375, 0.125, 0.250)
Cs (0.375, 0.750, 0.125)
Cs (0.625, 0.250, 0.875)
Cs (0.625, 0.875, 0.750)
Cs (0.750, 0.125, 0.375)
Cs (0.750, 0.625, 0.875)
Cs (0.875, 0.625, 0.250)
Cs (0.875, 0.750, 0.625)
Na (0.000, 0.000, 0.000)
Na (0.000, 0.000, 0.500)
Na (0.000, 0.500, 0.000)
Na (0.000, 0.500, 0.500)
Na (0.125, 0.750, 0.875)
Na (0.125, 0.875, 0.250)
Na (0.250, 0.125, 0.875)
Na (0.250, 0.625, 0.375)
Na (0.375, 0.250, 0.625)
Na (0.375, 0.625, 0.750)
Na (0.500, 0.000, 0.000)
Na (0.500, 0.000, 0.500)
Na (0.500, 0.500, 0.000)
Na (0.500, 0.500, 0.500)
Na (0.625, 0.375, 0.250)
Na (0.625, 0.750, 0.375)
Na (0.750, 0.375, 0.625)
Na (0.750, 0.875, 0.125)
Na (0.875, 0.125, 0.750)
Na (0.875, 0.250, 0.125)
Br (0.018, 0.206, 0.084)
Br (0.018, 0.312, 0.934)
Br (0.066, 0.584, 0.378)
Br (0.066, 0.982, 0.688)
Br (0.084, 0.018, 0.206)
Br (0.084, 0.566, 0.878)
Br (0.122, 0.706, 0.688)
Br (0.122, 0.916, 0.434)
Br (0.188, 0.206, 0.622)
Br (0.188, 0.482, 0.566)
Br (0.206, 0.084, 0.018)
Br (0.206, 0.622, 0.188)
Br (0.294, 0.312, 0.878)
Br (0.294, 0.482, 0.416)
Br (0.312, 0.878, 0.294)
Br (0.312, 0.934, 0.018)
Br (0.378, 0.066, 0.584)
Br (0.378, 0.812, 0.794)
Br (0.416, 0.294, 0.482)
Br (0.416, 0.622, 0.934)
Br (0.434, 0.122, 0.916)
Br (0.434, 0.812, 0.518)
Br (0.482, 0.416, 0.294)
Br (0.482, 0.566, 0.188)
Br (0.518, 0.434, 0.812)
Br (0.518, 0.584, 0.706)
Br (0.566, 0.188, 0.482)
Br (0.566, 0.878, 0.084)
Br (0.584, 0.378, 0.066)
Br (0.584, 0.706, 0.518)
Br (0.622, 0.188, 0.206)
Br (0.622, 0.934, 0.416)
Br (0.688, 0.066, 0.982)
Br (0.688, 0.122, 0.706)
Br (0.706, 0.518, 0.584)
Br (0.706, 0.688, 0.122)
Br (0.794, 0.378, 0.812)
Br (0.794, 0.916, 0.982)
Br (0.812, 0.518, 0.434)
Br (0.812, 0.794, 0.378)
Br (0.878, 0.084, 0.566)
Br (0.878, 0.294, 0.312)
Br (0.916, 0.434, 0.122)
Br (0.916, 0.982, 0.794)
Br (0.934, 0.018, 0.312)
Br (0.934, 0.416, 0.622)
Br (0.982, 0.688, 0.066)
Br (0.982, 0.794, 0.916)

**Formation energy without anion corrections**: -22.27 eV per formula unit
**N(E_F)**: 0.73 states/eV per atom
**Theoretical density**: 3.0 g/cm3
**Size of the total moment**: 0.203 μB per atom